The following is a DFT calculation (PBE with a Hubbard U) of a relaxed structure of PrMgV2O6.

abc: 5.344 5.496 9.360
angles: 90.00 124.59 90.00
Space group Pc (No. 7)
Symmetry-distinct sites (fractional):
Pr: 0.000 0.201 0.000
Mg: 0.528 0.303 0.498
V: 0.260 0.252 0.750
V: 0.764 0.258 0.252
O: 0.140 0.225 0.499
O: 0.425 0.304 0.001
O: 0.507 0.056 0.311
O: 0.608 0.481 0.806
O: 0.875 0.043 0.693
O: 0.983 0.472 0.193

Calculated values
Its total energy is -7.5856 eV/atom.